Entry 1:
Material: ZrSc2Rh
Method: DFT, PBE-GGA
State: optimized geometry

- Offset from the most stable computed form: 8.154 kcal/mol of atoms

a b c (Å): 10.2016 10.2016 10.2016
angles (deg): 17.66 17.66 17.66
With the nearest neighbours (Å) after each atom.
Positions (direct):
Zr 0.0000 0.0000 0.0000  2 Sc 3.04, 6 Zr 3.13
Sc 0.1010 0.1010 0.1010  3 Rh 2.68
Sc 0.8990 0.8990 0.8990  3 Rh 2.68
Rh 0.5000 0.5000 0.5000  6 Sc 2.68



Entry 2:
Material: Zr2Sc3Rh2
Method: DFT, PBE-GGA
State: optimized geometry

a b c (Å): 6.2671 6.2671 9.5714
angles (deg): 126.05 126.05 29.61
With the nearest neighbours (Å) after each atom.
Positions (direct):
Zr 0.1154 0.1154 0.3778  1 Rh 2.57
Zr 0.8846 0.8846 0.6222  1 Rh 2.57
Sc 0.3371 0.3371 0.2940  3 Rh 2.77-2.89
Sc 0.5000 0.5000 0.0000  4 Rh 2.71
Sc 0.6629 0.6629 0.7060  3 Rh 2.77-2.89
Rh 0.1318 0.1318 0.9157  1 Zr 2.57, 4 Sc 2.71-2.77, 2 Rh 2.78
Rh 0.8682 0.8682 0.0843  1 Zr 2.57, 4 Sc 2.71-2.77, 2 Rh 2.78



Entry 3:
Material: ZrScRh
Method: DFT, PBE-GGA
State: optimized geometry

- Offset from the most stable computed form: 3.939 kcal/mol of atoms

a b c (Å): 7.8090 7.8090 7.8090
angles (deg): 33.95 33.95 33.95
With the nearest neighbours (Å) after each atom.
Positions (direct):
Zr 0.1230 0.1230 0.1230  4 Rh 2.72-2.75
Zr 0.8770 0.8770 0.8770  4 Rh 2.72-2.75
Sc 0.3734 0.3734 0.3734  4 Rh 2.80-2.83
Sc 0.6266 0.6266 0.6266  4 Rh 2.80-2.83
Rh 0.2466 0.2466 0.2466  4 Zr 2.72-2.75, 4 Sc 2.80-2.83
Rh 0.7534 0.7534 0.7534  4 Zr 2.72-2.75, 4 Sc 2.80-2.83



Entry 4:
Material: Zr4ScRh
Method: DFT, PBE-GGA
State: optimized geometry

- Offset from the most stable computed form: 0.000 kcal/mol of atoms

a b c (Å): 5.7648 5.7648 5.9895
angles (deg): 120.07 120.07 50.32
With the nearest neighbours (Å) after each atom.
Positions (direct):
Zr 0.1505 0.1505 0.3089  8 Zr 2.94-3.28, 2 Rh 2.95, 1 Sc 3.16
Zr 0.2040 0.2040 0.8451  1 Rh 2.69, 3 Zr 2.90-2.94
Zr 0.7960 0.7960 0.1549  1 Rh 2.69, 3 Zr 2.90-2.94
Zr 0.8495 0.8495 0.6911  8 Zr 2.94-3.28, 2 Rh 2.95, 1 Sc 3.16
Sc 0.5000 0.5000 0.5000  2 Rh 2.99, 6 Zr 3.15-3.16
Rh 0.5000 0.5000 0.0000  6 Zr 2.69-2.95, 2 Sc 2.99



Entry 5:
Material: Zr3ScRh
Method: DFT, PBE-GGA
State: optimized geometry

- Offset from the most stable computed form: 8.604 kcal/mol of atoms

a b c (Å): 5.0518 5.0518 5.0518
angles (deg): 90.00 90.00 90.00
With the nearest neighbours (Å) after each atom.
Positions (direct):
Zr 0.0000 0.0000 0.5000  2 Rh 2.53
Zr 0.0000 0.5000 0.0000  2 Rh 2.53
Zr 0.5000 0.0000 0.0000  2 Rh 2.53
Sc 0.5000 0.5000 0.5000  12 Zr 3.57
Rh 0.0000 0.0000 0.0000  6 Zr 2.53



Entry 6:
Material: ZrSc2Rh4
Method: DFT, PBE-GGA
State: optimized geometry

a b c (Å): 7.7280 7.7280 7.7280
angles (deg): 33.72 33.72 33.72
With the nearest neighbours (Å) after each atom.
Positions (direct):
Zr 0.0000 0.0000 0.0000  8 Rh 2.67-2.74
Sc 0.2404 0.2404 0.2404  7 Rh 2.58-2.82
Sc 0.7596 0.7596 0.7596  7 Rh 2.58-2.82
Rh 0.1222 0.1222 0.1222  4 Sc 2.58-2.67, 1 Zr 2.67
Rh 0.3752 0.3752 0.3752  3 Zr 2.74, 4 Sc 2.82-2.94
Rh 0.6248 0.6248 0.6248  3 Zr 2.74, 4 Sc 2.82-2.94
Rh 0.8778 0.8778 0.8778  4 Sc 2.58-2.67, 1 Zr 2.67



Entry 7:
Material: Zr4ScRh
Method: DFT, PBE-GGA
State: optimized geometry

- Offset from the most stable computed form: 12.192 kcal/mol of atoms

a b c (Å): 5.7115 5.7115 5.7115
angles (deg): 60.00 60.00 60.00
With the nearest neighbours (Å) after each atom.
Positions (direct):
Zr 0.1251 0.1251 0.1251  6 Zr 2.85-2.86
Zr 0.1251 0.1251 0.6248  6 Zr 2.85-2.86
Zr 0.1251 0.6248 0.1251  6 Zr 2.85-2.86
Zr 0.6248 0.1251 0.1251  6 Zr 2.85-2.86
Sc 0.5000 0.5000 0.5000  12 Zr 3.35, 4 Rh 3.50
Rh 0.7500 0.7500 0.7500  12 Zr 3.35, 4 Sc 3.50



Entry 8:
Material: ZrSc2Rh
Method: DFT, PBE-GGA
State: optimized geometry

- Offset from the most stable computed form: 0.071 kcal/mol of atoms

a b c (Å): 3.2553 3.2553 7.6203
angles (deg): 90.00 90.00 90.00
With the nearest neighbours (Å) after each atom.
Positions (direct):
Zr 0.0000 0.0000 0.0000  8 Sc 3.21, 4 Zr 3.26
Sc 0.5000 0.5000 0.2928  4 Rh 2.79
Sc 0.5000 0.5000 0.7072  4 Rh 2.79
Rh 0.0000 0.0000 0.5000  8 Sc 2.79



Entry 9:
Material: ZrSc2Rh
Method: DFT, PBE-GGA
State: optimized geometry

- Offset from the most stable computed form: 6.282 kcal/mol of atoms

a b c (Å): 5.4266 5.4266 3.0933
angles (deg): 100.33 100.33 113.74
With the nearest neighbours (Å) after each atom.
Positions (direct):
Zr 0.0000 0.0000 0.0000  4 Sc 2.87, 2 Rh 2.97, 2 Zr 3.09
Sc 0.0000 0.5000 0.5000  2 Rh 2.87, 2 Zr 2.87, 4 Sc 2.97-3.09
Sc 0.5000 0.0000 0.5000  2 Rh 2.87, 2 Zr 2.87, 4 Sc 2.97-3.09
Rh 0.5000 0.5000 0.0000  4 Sc 2.87, 2 Zr 2.97, 2 Rh 3.09



Entry 10:
Material: Zr2ScRh2
Method: DFT, PBE-GGA
State: optimized geometry

- Offset from the most stable computed form: 0.000 kcal/mol of atoms

a b c (Å): 3.3905 4.6580 11.8631
angles (deg): 90.00 98.20 90.00
With the nearest neighbours (Å) after each atom.
Positions (direct):
Zr 0.0496 0.2500 0.0993  8 Rh 2.78-2.88
Zr 0.2430 0.2500 0.4860  2 Rh 2.89, 4 Zr 2.90, 2 Sc 3.15
Zr 0.7570 0.7500 0.5140  2 Rh 2.89, 4 Zr 2.90, 2 Sc 3.15
Zr 0.9504 0.7500 0.9007  8 Rh 2.78-2.88
Sc 0.1443 0.7500 0.2877  6 Rh 2.85-2.88, 2 Zr 3.15
Sc 0.8557 0.2500 0.7123  6 Rh 2.85-2.88, 2 Zr 3.15
Rh 0.3563 0.7500 0.7131  4 Zr 2.78-2.89, 4 Sc 2.88
Rh 0.4535 0.2500 0.9074  6 Zr 2.82-2.88, 2 Sc 2.85
Rh 0.5465 0.7500 0.0926  6 Zr 2.82-2.88, 2 Sc 2.85
Rh 0.6437 0.2500 0.2869  4 Zr 2.78-2.89, 4 Sc 2.88



Entry 11:
Material: ZrSc2Rh
Method: DFT, PBE-GGA
State: optimized geometry

- Offset from the most stable computed form: 6.282 kcal/mol of atoms

a b c (Å): 4.8104 4.8104 4.8104
angles (deg): 60.00 60.00 60.00
With the nearest neighbours (Å) after each atom.
Positions (direct):
Zr 0.0000 0.0000 0.0000  8 Sc 2.95
Sc 0.2500 0.2500 0.2500  4 Zr 2.95, 4 Rh 2.95
Sc 0.7500 0.7500 0.7500  4 Zr 2.95, 4 Rh 2.95
Rh 0.5000 0.5000 0.5000  8 Sc 2.95



Entry 12:
Material: ZrSc5Rh6
Method: DFT, PBE-GGA
State: optimized geometry

a b c (Å): 7.1592 7.1592 6.6635
angles (deg): 90.00 90.00 143.12
With the nearest neighbours (Å) after each atom.
Positions (direct):
Zr 0.0000 0.0000 0.0000  8 Rh 2.80
Sc 0.0000 0.0000 0.5000  8 Rh 2.80-2.82
Sc 0.3310 0.6690 0.0000  8 Rh 2.80-2.83
Sc 0.3332 0.6668 0.5000  8 Rh 2.81-2.82
Sc 0.6668 0.3332 0.5000  8 Rh 2.81-2.82
Sc 0.6690 0.3310 0.0000  8 Rh 2.80-2.83
Rh 0.1657 0.8343 0.2505  7 Sc 2.80-2.82, 1 Zr 2.80
Rh 0.1657 0.8343 0.7495  7 Sc 2.80-2.82, 1 Zr 2.80
Rh 0.5000 0.5000 0.2482  2 Zr 2.80, 6 Sc 2.82-2.83
Rh 0.5000 0.5000 0.7518  2 Zr 2.80, 6 Sc 2.82-2.83
Rh 0.8343 0.1657 0.2505  7 Sc 2.80-2.82, 1 Zr 2.80
Rh 0.8343 0.1657 0.7495  7 Sc 2.80-2.82, 1 Zr 2.80



Number 1: electronic total energy -29.1 eV for the cell shown, energy of formation from the pure elements -0.13 eV/atom. Number 2: electronic total energy -53.6 eV for the cell shown, energy of formation from the pure elements -0.39 eV/atom. Number 3: electronic total energy -47.2 eV for the cell shown, energy of formation from the pure elements -0.46 eV/atom. Number 4: electronic total energy -49.4 eV for the cell shown, energy of formation from the pure elements -0.26 eV/atom. Number 5: electronic total energy -38.4 eV for the cell shown, energy of formation from the pure elements 0.18 eV/atom. Number 6: electronic total energy -55.3 eV for the cell shown, energy of formation from the pure elements -0.67 eV/atom. Number 7: electronic total energy -46.3 eV for the cell shown, energy of formation from the pure elements 0.27 eV/atom. Number 8: electronic total energy -30.5 eV for the cell shown, energy of formation from the pure elements -0.48 eV/atom. Number 9: electronic total energy -29.4 eV for the cell shown, energy of formation from the pure elements -0.21 eV/atom. Number 10: electronic total energy -83.1 eV for the cell shown, energy of formation from the pure elements -0.69 eV/atom. Number 11: electronic total energy -29.4 eV for the cell shown, energy of formation from the pure elements -0.21 eV/atom. Number 12: electronic total energy -96.2 eV for the cell shown, energy of formation from the pure elements -0.99 eV/atom.